[1]
# ReNi8

ReNi8 at its PBEsol-relaxed geometry (meta-GGA SCAN, Alexandria).

Values from the calculation:
The total magnetization comes out at 0.0 μB per formula unit. The calculation puts the total energy at -200.0 eV/f.u. Its crystal system is tetragonal.

Lattice parameters (Å, degrees): 7.407 7.407 3.531 90.00 90.00 90.00
Space group I4/mmm (No. 139)
Inequivalent atoms, fractional coordinates:
Re (0.000, 0.000, 0.000) [2 per cell]
Ni (0.000, 0.333, 0.000) [8 per cell]
Ni (0.166, 0.166, 0.500) [8 per cell]

---

[2]
# ReNi3

ReNi3 at its PBEsol-relaxed geometry (meta-GGA SCAN, Alexandria).

Values from the calculation:
The total magnetization comes out at 1.6 μB per formula unit. The calculation puts the total energy at -119.1 eV/f.u. Its crystal system is trigonal.

Lattice parameters (Å, degrees): 2.5856 2.5856 24.2833 90.00 90.00 120.00
Space group R-3m (No. 166, hexagonal axes)
Inequivalent atoms, fractional coordinates:
Re (0.0000, 0.0000, 0.0000) [3 per cell]
Ni (0.0000, 0.0000, 0.2474) [6 per cell]
Ni (0.0000, 0.0000, 0.5000) [3 per cell]

---

[3]
# Re2Ni

Re2Ni at its PBEsol-relaxed geometry (meta-GGA SCAN, Alexandria).

Values from the calculation:
The total magnetization comes out at 0.1 μB per formula unit. The calculation puts the total energy at -158.5 eV/f.u. The calculation puts the distance to the lowest polymorph of the same formula at 0.00 eV per formula unit. Its crystal system is orthorhombic.

Lattice parameters (Å, degrees): 2.666 13.997 4.281 90.00 90.00 90.00
Space group Cmcm (No. 63)
Inequivalent atoms, fractional coordinates:
Re (0.000, 0.052, 0.250) [4 per cell]
Re (0.000, 0.279, 0.750) [4 per cell]
Ni (0.000, 0.390, 0.250) [4 per cell]

---

[4]
# ReNi2

ReNi2 at its PBEsol-relaxed geometry (meta-GGA SCAN, Alexandria).

Values from the calculation:
The total magnetization comes out at 0.0 μB per formula unit. The calculation puts the total energy at -103.4 eV/f.u. The calculation puts the distance to the lowest polymorph of the same formula at 0.08 eV per formula unit. Its crystal system is monoclinic.

Lattice parameters (Å, degrees): 9.241 2.611 6.079 90.00 105.91 90.00
Space group C2/m (No. 12)
Inequivalent atoms, fractional coordinates:
Re (0.022, 0.000, 0.299) [4 per cell]
Ni (0.142, 0.500, 0.032) [4 per cell]
Ni (0.196, 0.500, 0.633) [4 per cell]

---

[5]
# ReNi3

ReNi3 at its PBEsol-relaxed geometry (meta-GGA SCAN, Alexandria).

Values from the calculation:
The total magnetization comes out at 0.0 μB per formula unit. The calculation puts the total energy at -119.3 eV/f.u. Its crystal system is orthorhombic.

Lattice parameters (Å, degrees): 2.543 4.107 4.388 90.00 90.00 90.00
Space group Pmm2 (No. 25)
Inequivalent atoms, fractional coordinates:
Re (0.000, 0.000, 0.000) [1 per cell]
Ni (0.000, 0.500, 0.680) [1 per cell]
Ni (0.500, 0.000, 0.501) [1 per cell]
Ni (0.500, 0.500, 0.186) [1 per cell]

---

[6]
# Re5Ni

Re5Ni at its PBEsol-relaxed geometry (meta-GGA SCAN, Alexandria).

Values from the calculation:
The total magnetization comes out at 0.0 μB per formula unit. The calculation puts the total energy at -371.8 eV/f.u. The calculation puts the distance to the lowest polymorph of the same formula at 0.00 eV per formula unit. Its crystal system is hexagonal.

Lattice parameters (Å, degrees): 4.7193 4.7193 4.3435 90.00 90.00 120.00
Space group P-62m (No. 189)
Inequivalent atoms, fractional coordinates:
Re (0.0000, 0.6731, 0.0000) [3 per cell]
Re (0.3333, 0.6667, 0.5000) [2 per cell]
Ni (0.0000, 0.0000, 0.5000) [1 per cell]

---

[7]
# ReNi3

ReNi3 at its PBEsol-relaxed geometry (meta-GGA SCAN, Alexandria).

Values from the calculation:
The total magnetization comes out at 0.0 μB per formula unit. The calculation puts the total energy at -119.1 eV/f.u. Its crystal system is orthorhombic.

Lattice parameters (Å, degrees): 5.004 7.224 2.546 90.00 90.00 90.00
Space group Cmmm (No. 65)
Inequivalent atoms, fractional coordinates:
Re (0.000, 0.000, 0.000) [2 per cell]
Ni (0.000, 0.500, 0.000) [2 per cell]
Ni (0.250, 0.250, 0.500) [4 per cell]

---

[8]
# ReNi2

ReNi2 at its PBEsol-relaxed geometry (meta-GGA SCAN, Alexandria).

Values from the calculation:
The total magnetization comes out at 0.0 μB per formula unit. The calculation puts the total energy at -103.5 eV/f.u. The calculation puts the distance to the lowest polymorph of the same formula at 0.00 eV per formula unit. Its crystal system is hexagonal.

Lattice parameters (Å, degrees): 4.0074 4.0074 2.5069 90.00 90.00 120.00
Space group P6/mmm (No. 191)
Inequivalent atoms, fractional coordinates:
Re (0.0000, 0.0000, 0.0000) [1 per cell]
Ni (0.3333, 0.6667, 0.5000) [2 per cell]

---

[9]
# ReNi3

ReNi3 at its PBEsol-relaxed geometry (meta-GGA SCAN, Alexandria).

Values from the calculation:
The total magnetization comes out at 0.0 μB per formula unit. The calculation puts the total energy at -119.4 eV/f.u. Its crystal system is tetragonal.

Lattice parameters (Å, degrees): 3.526 3.526 7.265 90.00 90.00 90.00
Space group I4/mmm (No. 139)
Inequivalent atoms, fractional coordinates:
Re (0.000, 0.000, 0.000) [2 per cell]
Ni (0.000, 0.000, 0.500) [2 per cell]
Ni (0.000, 0.500, 0.250) [4 per cell]

---

[10]
# ReNi2

ReNi2 at its PBEsol-relaxed geometry (meta-GGA SCAN, Alexandria).

Values from the calculation:
The total magnetization comes out at 1.1 μB per formula unit. The calculation puts the total energy at -103.4 eV/f.u. The calculation puts the distance to the lowest polymorph of the same formula at 0.12 eV per formula unit. Its crystal system is cubic.

Lattice parameters (Å, degrees): 6.500 6.500 6.500 90.00 90.00 90.00
Space group Fd-3m (No. 227, origin choice 2)
Inequivalent atoms, fractional coordinates:
Re (0.125, 0.125, 0.125) [8 per cell]
Ni (0.000, 0.000, 0.500) [16 per cell]

---

[11]
# ReNi7

ReNi7 at its PBEsol-relaxed geometry (meta-GGA SCAN, Alexandria).

Values from the calculation:
The total magnetization comes out at 3.7 μB per formula unit. The calculation puts the total energy at -183.4 eV/f.u. Its crystal system is cubic.

Lattice parameters (Å, degrees): 7.039 7.039 7.039 90.00 90.00 90.00
Space group Fm-3m (No. 225)
Inequivalent atoms, fractional coordinates:
Re (0.000, 0.000, 0.000) [4 per cell]
Ni (0.000, 0.000, 0.500) [4 per cell]
Ni (0.000, 0.250, 0.250) [24 per cell]

---

[12]
# ReNi4

ReNi4 at its PBEsol-relaxed geometry (meta-GGA SCAN, Alexandria).

Values from the calculation:
The total magnetization comes out at 0.0 μB per formula unit. The calculation puts the total energy at -135.9 eV/f.u. Its crystal system is tetragonal.

Lattice parameters (Å, degrees): 5.608 5.608 3.526 90.00 90.00 90.00
Space group I4/m (No. 87)
Inequivalent atoms, fractional coordinates:
Re (0.000, 0.000, 0.000) [2 per cell]
Ni (0.102, 0.702, 0.500) [8 per cell]

---

The records above yield formation energy values of 50, 139, -40, 14, 81, -31, 138, -14, 62, 25, 112, -23 meV/atom, respectively.
The records above yield Fermi-level density of states values of 12.08, 5.17, 2.03, 1.82, 5.17, 4.93, 4.93, 1.23, 2.83, 2.66, 9.94, 3.36 states/eV/f.u., respectively.